No. 1
First-principles (GGA-PBE) data for Tm2ZrBr after structural relaxation, as listed in Alexandria via LeMat-Bulk.

Results
Crystal system: trigonal
DFT total energy, Ry/atom: -0.3861

abc: 3.5320 3.5320 29.0805
angles: 90.00 90.00 120.00
Space group R-3m (No. 166, hexagonal axes)
One atom of each set of equivalent atoms:
Tm1 0.0000 0.0000 0.2469 x6
Zr1 0.0000 0.0000 0.0000 x3
Br1 0.0000 0.0000 0.5000 x3

=====

No. 2
First-principles (GGA-PBE) data for UAg3Sn3Se8 after structural relaxation, as listed in Alexandria via LeMat-Bulk.

Results
Crystal system: trigonal
DFT total energy, Ry/atom: -0.3267

abc: 8.3111 8.3111 19.1796
angles: 90.00 90.00 120.00
Space group R-3m (No. 166, hexagonal axes)
One atom of each set of equivalent atoms:
U1 0.0000 0.0000 0.0000 x3
Ag1 0.0000 0.5000 0.5000 x9
Sn1 0.0000 0.5000 0.0000 x9
Se1 0.0000 0.0000 0.2447 x6
Se2 0.0106 0.5053 0.7493 x18

=====

No. 3
First-principles (GGA-PBE) data for HoMg2Zn4 after structural relaxation, as listed in Alexandria via LeMat-Bulk.

Results
Energy of formation, eV/f.u.: -1.481
Crystal system: orthorhombic

abc: 3.4204 4.4268 17.8675
angles: 90.00 90.00 90.00
Space group Immm (No. 71)
One atom of each set of equivalent atoms:
Ho1 0.0000 0.0000 0.0000 x2
Mg1 0.0000 0.5000 0.1986 x4
Zn1 0.0000 0.0000 0.4287 x4
Zn2 0.0000 0.5000 0.3559 x4

=====

No. 4
First-principles (GGA-PBE) data for CsBiPb4 after structural relaxation, as listed in Alexandria via LeMat-Bulk.

Results
Energy of formation, eV/f.u.: -0.081
E above lowest polymorph, meV per atom: 0.0
Crystal system: triclinic

abc: 5.6878 6.9749 12.4018
angles: 100.01 103.20 90.00
Space group P-1 (No. 2)
One atom of each set of equivalent atoms:
Cs1 0.2316 0.2705 0.4639 x2
Bi1 0.0000 0.5000 0.0000 x1
Bi2 0.5000 0.0000 0.0000 x1
Pb1 0.0670 0.1235 0.1347 x2
Pb2 0.1324 0.7146 0.2658 x2
Pb3 0.3699 0.0358 0.7380 x2
Pb4 0.4247 0.5403 0.8487 x2

=====

No. 5
First-principles (GGA-PBE) data for Ca2As2Br after structural relaxation, as listed in Alexandria via LeMat-Bulk.

Results
E above lowest polymorph, meV per atom: 123.8
Crystal system: tetragonal

abc: 4.1173 4.1173 16.1313
angles: 90.00 90.00 90.00
Space group I4/mmm (No. 139)
One atom of each set of equivalent atoms:
Ca1 0.0000 0.0000 0.1214 x4
As1 0.0000 0.5000 0.2500 x4
Br1 0.0000 0.0000 0.5000 x2

=====

Number 5 is which compound?
Ca2As2Br